Record 1
PaHgO3 | PBE | relaxed

It has space group R-3 (No. 148, hexagonal axes), with a = 6.0876 Å, b = 6.0876 Å, c = 16.8650 Å, α = 90.00°, β = 90.00° and γ = 120.00°. The asymmetric unit holds Pa at (0.0000, 0.0000, 0.1605), Hg at (0.0000, 0.0000, 0.3683) and O at (0.0086, 0.3842, 0.4338).

Its uncorrected energy is -6.809 eV per atom.

Record 2
Lu4Tl5Ni2 | PBE | relaxed

It has space group P2/m (No. 10), with a = 7.807 Å, b = 3.515 Å, c = 9.463 Å, α = 90.00°, β = 94.68° and γ = 90.00°. The asymmetric unit holds Lu at (0.189, 0.000, 0.334), Lu at (0.201, 0.000, 0.934), Tl at (0.148, 0.500, 0.638), Tl at (0.457, 0.500, 0.163), Tl at (0.500, 0.500, 0.500) and Ni at (0.073, 0.500, 0.128).

Its uncorrected energy is -4.065 eV per atom.

Record 3
AgAs2Pt | PBE | relaxed

It has space group F-43m (No. 216), with a = 6.581 Å, b = 6.581 Å, c = 6.581 Å, α = 90.00°, β = 90.00° and γ = 90.00°. The asymmetric unit holds Ag at (0.000, 0.000, 0.000), As at (0.000, 0.000, 0.500), As at (0.250, 0.250, 0.250) and Pt at (0.250, 0.250, 0.750).

Its uncorrected energy is -4.266 eV per atom.

Record 4
LiTc2Sb | PBE | relaxed

It has space group F-43m (No. 216), with a = 6.244 Å, b = 6.244 Å, c = 6.244 Å, α = 90.00°, β = 90.00° and γ = 90.00°. The asymmetric unit holds Li at (0.000, 0.000, 0.000), Tc at (0.000, 0.000, 0.500), Tc at (0.250, 0.250, 0.250) and Sb at (0.250, 0.250, 0.750).

Its uncorrected energy is -6.683 eV per atom.

Record 5
AuO3 | PBE | relaxed

It has space group Cmmm (No. 65), with a = 3.250 Å, b = 12.767 Å, c = 5.878 Å, α = 90.00°, β = 90.00° and γ = 90.00°. The asymmetric unit holds Au at (0.000, 0.172, 0.000), O at (0.000, 0.077, 0.394) and O at (0.000, 0.446, 0.000).

Its uncorrected energy is -4.170 eV per atom.

Record 6
NaAcOs | PBE | relaxed

It has space group F-43m (No. 216), with a = 6.907 Å, b = 6.907 Å, c = 6.907 Å, α = 90.00°, β = 90.00° and γ = 90.00°. The asymmetric unit holds Na at (0.000, 0.000, 0.000), Ac at (0.250, 0.250, 0.250) and Os at (0.000, 0.000, 0.500).

The offset from the most stable computed form comes out at 479 meV/atom.

Record 7
PaRePd | PBE | relaxed

It has space group F-43m (No. 216), with a = 6.392 Å, b = 6.392 Å, c = 6.392 Å, α = 90.00°, β = 90.00° and γ = 90.00°. The asymmetric unit holds Pa at (0.000, 0.000, 0.000), Re at (0.250, 0.250, 0.250) and Pd at (0.250, 0.250, 0.750).

The offset from the most stable computed form comes out at 95 meV/atom. For the calculated formation energy, the calculation gives 1.63 eV/f.u.

Record 8
Lu2SiOs | PBE | relaxed

It has space group F-43m (No. 216), with a = 6.605 Å, b = 6.605 Å, c = 6.605 Å, α = 90.00°, β = 90.00° and γ = 90.00°. The asymmetric unit holds Lu at (0.000, 0.000, 0.000), Lu at (0.250, 0.250, 0.250), Si at (0.000, 0.000, 0.500) and Os at (0.250, 0.250, 0.750).

Its uncorrected energy is -6.638 eV per atom.

Record 9
LaPr2Cu2Ge4Ir2 | PBE | relaxed

It has space group Immm (No. 71), with a = 4.207 Å, b = 4.244 Å, c = 24.882 Å, α = 90.00°, β = 90.00° and γ = 90.00°. The asymmetric unit holds La at (0.000, 0.000, 0.000), Pr at (0.000, 0.500, 0.149), Cu at (0.000, 0.500, 0.403), Ge at (0.000, 0.000, 0.448), Ge at (0.000, 0.500, 0.306) and Ir at (0.000, 0.000, 0.249).

The offset from the most stable computed form comes out at 0 meV/atom.

Record 10
GaCu2Te2Se | PBE | relaxed

It has space group Cc (No. 9), with a = 7.253 Å, b = 12.515 Å, c = 7.102 Å, α = 90.00°, β = 109.71° and γ = 90.00°. The asymmetric unit holds Ga at (0.000, 0.078, 0.000), Cu at (0.015, 0.415, 0.007), Cu at (0.496, 0.260, 0.009), Te at (0.371, 0.246, 0.627), Te at (0.388, 0.084, 0.125) and Se at (0.370, 0.417, 0.124).

Its uncorrected energy is -3.640 eV per atom.

Record 11
PmSb | PBE | relaxed

It has space group F-43m (No. 216), with a = 7.100 Å, b = 7.100 Å, c = 7.100 Å, α = 90.00°, β = 90.00° and γ = 90.00°. The asymmetric unit holds Pm at (0.000, 0.000, 0.000) and Sb at (0.250, 0.250, 0.750).

The offset from the most stable computed form comes out at 562 meV/atom.

Record 12
CdCuNiGe | PBE | relaxed

It has space group F-43m (No. 216), with a = 6.186 Å, b = 6.186 Å, c = 6.186 Å, α = 90.00°, β = 90.00° and γ = 90.00°. The asymmetric unit holds Cd at (0.000, 0.000, 0.000), Cu at (0.250, 0.250, 0.750), Ni at (0.250, 0.250, 0.250) and Ge at (0.000, 0.000, 0.500).

The offset from the most stable computed form comes out at 0 meV/atom.